No. 1
Entry from Alexandria: Cd2TeBr after structural relaxation (PBE-GGA).

a b c (Å): 3.3677 3.3677 9.9666
angles (deg): 90.00 90.00 90.00
Positions (direct):
Cd: 0.5000 0.5000 0.2144
Cd: 0.0000 0.0000 0.9995
Br: 0.5000 0.5000 0.8252
Te: 0.0000 0.0000 0.4609

Values from the calculation:
raw formation energy	-0.08	eV per atom
space group	No. 99

No. 2
Entry from Alexandria: CdTeBr after structural relaxation (PBE-GGA).

a b c (Å): 3.5800 4.0399 7.4858
angles (deg): 89.89 89.87 90.08
Positions (direct):
Br: 0.1683 0.9512 0.1264
Te: 0.6655 0.4490 0.6528
Cd: 0.6672 0.9499 0.3850

Values from the calculation:
raw formation energy	-0.39	eV per atom
space group	No. 1

No. 3
Entry from Alexandria: CdTeBr after structural relaxation (PBE-GGA).

a b c (Å): 4.3790 6.5261 7.7121
angles (deg): 66.53 85.74 73.65
Positions (direct):
Br: 0.3568 0.3285 0.9077
Br: 0.6432 0.6715 0.0923
Cd: 0.5000 0.5000 0.5000
Cd: 0.0000 0.0000 0.0000
Te: 0.9204 0.8673 0.4140
Te: 0.0796 0.1327 0.5860

Values from the calculation:
raw formation energy	-0.47	eV per atom
space group	No. 2